Cs2OsCl8: optimized geometry, PBE.

Output
Formation energy from raw total energies ... -0.926 eV/atom
Crystal system ... monoclinic
Symmetry ... C2/m (12)
Raw total energy ... -37.891 eV/cell

a b c (Å): 6.651 7.087 9.269
angles (deg): 112.48 88.62 90.00
Site moments in Bohr magnetons follow the coordinates.
Fractional coordinates of all 11 atoms:
Cl1 0.123 0.683 0.830  0.10
Cs1 0.246 0.706 0.411  0.00
Os1 0.000 0.000 0.000  1.60
Cl2 0.877 0.317 0.170  0.10
Cl3 0.701 0.937 0.875  0.00
Cl4 0.259 0.236 0.473  -0.13
Cl5 0.123 0.147 0.830  0.10
Cl6 0.877 0.853 0.170  0.10
Cl7 0.741 0.764 0.527  -0.13
Cl8 0.299 0.063 0.125  0.00
Cs2 0.754 0.294 0.589  0.00

Cs2OsCl: optimized geometry, PBE.

Output
Formation energy from raw total energies ... 0.575 eV/atom
Crystal system ... cubic
Symmetry ... Fm-3m (225)
Raw total energy ... -12.485 eV/cell

a b c (Å): 6.200 6.200 6.200
angles (deg): 60.00 60.00 60.00
Site moments in Bohr magnetons follow the coordinates.
Fractional coordinates of all 4 atoms:
Cs1 0.750 0.750 0.750  0.00
Os1 0.500 0.500 0.500  2.56
Cs2 0.250 0.250 0.250  0.00
Cl1 0.000 0.000 0.000  0.01